VASP calculation (PBE) on VZnCr2Au after structural relaxation.

Cell: 5.0181 5.0181 4.9196 Å, 90.00 90.00 90.00°
Last column: magnetic moment on the atom in μB.
Element x y z (fractional)
Cr  0.0000  0.5000  0.0000  3.82
Cr  0.5000  0.0000  0.0000  3.82
Zn  0.5000  0.5000  0.5000  -0.01
Au  0.0000  0.0000  0.0000  0.17
V  0.0000  0.0000  0.5000  2.45

Summary:
- E_form (kcal/mol of atoms) = 31.519
- volume (Å³/cell) = 123.88
- electronic total energy (eV for the cell shown) = -26.1
- D(E_F) (states/eV/cell) = 6.398

=====

VASP calculation (PBE) on Cr2WAu after structural relaxation.

Cell: 4.6335 4.6335 4.8638 Å, 81.99 81.99 34.18°
Element x y z (fractional)
Au  0.2500  0.2500  0.2500
Cr  0.9978  0.9978  0.9947
Cr  0.5022  0.5022  0.5053
W  0.7500  0.7500  0.7500

Summary:
- excess energy over the best structure of this formula in the dataset (meV/atom) = 211
- E_form (kcal/mol of atoms) = 11.005
- volume (Å³/cell) = 58.04
- electronic total energy (eV for the cell shown) = -33.6
- D(E_F) (states/eV/cell) = 4.696

=====

VASP calculation (PBE) on CrWAu2 after structural relaxation.

Cell: 2.7764 2.7764 9.0483 Å, 90.00 90.00 111.03°
Element x y z (fractional)
Au  0.0000  0.0000  0.9903
Au  0.5000  0.5000  0.2689
Cr  0.0000  0.0000  0.5165
W  0.5000  0.5000  0.7243

Summary:
- excess energy over the best structure of this formula in the dataset (meV/atom) = 0
- E_form (kcal/mol of atoms) = 6.587
- volume (Å³/cell) = 65.10
- electronic total energy (eV for the cell shown) = -28.0
- D(E_F) (states/eV/cell) = 3.669

=====

VASP calculation (PBE) on CrW4Au after structural relaxation.

Cell: 5.2544 5.2544 5.2544 Å, 60.00 60.00 60.00°
Last column: magnetic moment on the atom in μB.
Element x y z (fractional)
Cr  0.0000  0.0000  0.0000  2.34
W  0.8738  0.3754  0.3754  -0.16
W  0.3754  0.3754  0.8738  -0.16
W  0.3754  0.8738  0.3754  -0.16
W  0.3754  0.3754  0.3754  -0.16
Au  0.7500  0.7500  0.7500  -0.03

Summary:
- E_form (kcal/mol of atoms) = 15.044
- volume (Å³/cell) = 102.58
- electronic total energy (eV for the cell shown) = -60.8
- D(E_F) (states/eV/cell) = 5.396